No. 1
Density functional theory data (PBE) for a relaxed CuSnN crystal.

Cell and atoms, written as extended XYZ:
```
6
Lattice="5.304 0.000 0.000 0.000 3.255 0.000 -0.187 0.000 5.306" Properties=species:S:1:pos:R:3 pbc="T T T"
Cu 0.057 1.627 3.345
Cu 2.270 0.000 4.100
Sn 2.608 1.627 1.930
Sn 5.249 0.000 0.178
N 0.496 1.627 1.440
N 3.157 0.000 0.642
```

ΔE_f (raw), kJ per mole of atoms: 26.5
Symmetry: Pm, No. 6
Offset from the most stable computed form, meV per atom: 39

---

No. 2
Density functional theory data (PBE) for a relaxed Cs2SmInTe4 crystal.

Cell and atoms, written as extended XYZ:
```
16
Lattice="-2.994 -6.221 -1.171 -0.679 -4.970 7.197 -14.244 2.518 2.100" Properties=species:S:1:pos:R:3 pbc="T T T"
Cs -9.596 0.466 1.121
Cs -7.641 -4.169 -0.192
Cs -14.354 -3.839 4.749
Cs -5.060 -7.944 2.791
Sm -9.707 -5.892 3.770
Sm 0.000 0.000 0.000
In -8.210 -2.781 4.356
In -1.497 -3.111 -0.586
Te -3.077 -5.599 5.537
Te -13.438 -0.161 3.137
Te -15.865 -7.255 6.486
Te -3.453 -4.330 1.091
Te -7.308 -5.262 5.431
Te -10.513 -3.212 2.732
Te -11.758 -7.309 5.410
Te -6.254 -1.562 2.679
```

ΔE_f (raw), kJ per mole of atoms: -94.0
Symmetry: Fddd, No. 70

---

No. 3
Density functional theory data (PBE) for a relaxed Tc2Pb crystal.

Cell and atoms, written as extended XYZ:
```
6
Lattice="-3.142 -1.118 -0.018 1.535 -4.349 2.285 -1.097 2.982 6.414" Properties=species:S:1:pos:R:3 pbc="T T T"
Tc -2.822 0.282 2.433
Tc -1.418 1.581 3.963
Tc -0.195 -2.117 1.898
Tc -2.510 -0.368 6.783
Pb 0.000 0.000 0.000
Pb -1.352 -1.243 4.341
```

Formation energy, eV/atom: 0.950
Symmetry: Pnnm, No. 58
Offset from the most stable computed form, meV per atom: 587

---

No. 4
Density functional theory data (PBE) for a relaxed Cs3CeTh3S8 crystal.

Cell and atoms, written as extended XYZ:
```
15
Lattice="8.343 0.000 0.000 -4.171 7.225 -0.029 0.000 -4.788 8.254" Properties=species:S:1:pos:R:3 pbc="T T T"
Cs 0.000 0.000 0.000
Cs -2.086 3.613 -0.014
Cs 2.086 3.613 -0.014
Ce 0.000 -2.394 4.127
Th 4.171 -2.394 4.127
Th 2.086 1.218 4.113
Th -2.086 1.218 4.113
S 0.000 2.416 2.552
S 4.172 0.021 5.673
S 4.172 2.381 2.599
S 0.000 0.056 5.627
S 6.227 -1.178 2.613
S -2.055 3.615 5.612
S 2.116 -1.178 2.613
S 2.055 3.615 5.612
```

ΔE_f (raw), kJ per mole of atoms: -168.8
Symmetry: R-3m, No. 166

---

No. 5
Density functional theory data (PBE) for a relaxed ReAg3H crystal.

Cell and atoms, written as extended XYZ:
```
5
Lattice="-1.230 2.892 -2.683 -3.677 -1.859 -0.319 -1.430 2.292 3.127" Properties=species:S:1:pos:R:3 pbc="T T T"
Re -3.168 1.663 0.062
Ag -1.838 -0.930 -0.159
Ag -0.715 1.146 1.563
Ag -0.615 1.446 -1.342
H 0.000 0.000 0.000
```

Symmetry: Pm-3m, No. 221
Offset from the most stable computed form, meV per atom: 0

---

No. 6
Density functional theory data (PBE) for a relaxed P2IrSe crystal.

Cell and atoms, written as extended XYZ:
```
8
Lattice="-4.212 -0.731 -2.503 1.532 -0.264 -2.502 4.922 -8.475 3.908" Properties=species:S:1:pos:R:3 pbc="T T T"
P 1.156 -6.230 1.364
P -0.539 -2.124 -1.840
P 1.148 -3.912 1.115
P 4.375 -8.281 1.818
Ir 3.333 -6.422 2.718
Ir 1.639 -2.316 -0.487
Se -1.094 -4.762 -0.169
Se 2.133 -9.131 0.534
```

ΔE_f (raw), kJ per mole of atoms: 3.9
Symmetry: Cm, No. 8

---

No. 7
Density functional theory data (PBE) for a relaxed TbNdEr2Bi4 crystal.

Cell and atoms, written as extended XYZ:
```
8
Lattice="-2.699 -1.779 3.137 1.394 -7.119 -2.838 6.200 -3.065 3.596" Properties=species:S:1:pos:R:3 pbc="T T T"
Tb 3.797 -5.092 0.379
Nd -0.652 -4.449 0.149
Er 6.200 -3.065 3.596
Er 1.750 -2.422 3.366
Bi 5.668 -7.679 0.522
Bi -0.773 -4.285 3.372
Bi 1.263 -7.042 0.327
Bi 3.632 -4.922 3.567
```

Formation energy, eV/atom: -0.859
Symmetry: P2/m, No. 10

---

No. 8
Density functional theory data (PBE) for a relaxed CaFeSe2N crystal.

Cell and atoms, written as extended XYZ:
```
5
Lattice="5.391 0.000 0.000 0.000 5.391 0.000 0.000 0.000 4.241" Properties=species:S:1:pos:R:3 pbc="T T T"
Ca 0.000 0.000 0.000
Fe 2.695 2.695 2.120
Se 0.000 2.695 0.000
Se 2.695 0.000 0.000
N 0.000 0.000 2.120
```

ΔE_f (raw), kJ per mole of atoms: 109.3
Symmetry: P4/mmm, No. 123
Offset from the most stable computed form, meV per atom: 1589

---

No. 9
Density functional theory data (PBE) for a relaxed CuI2F crystal.

Cell and atoms, written as extended XYZ:
```
8
Lattice="6.406 0.000 0.000 0.000 6.406 0.000 3.203 3.203 5.643" Properties=species:S:1:pos:R:3 pbc="T T T"
I 5.010 1.602 1.411
I 1.396 4.805 1.411
I 4.805 4.599 4.232
I 8.008 8.213 4.232
Cu 0.000 0.000 0.000
Cu 6.406 3.203 2.822
F 3.203 3.203 0.000
F 3.203 6.406 2.822
```

ΔE_f (raw), kJ per mole of atoms: -16.0
Symmetry: I-42d, No. 122
Offset from the most stable computed form, meV per atom: 351

---

No. 10
Density functional theory data (PBE) for a relaxed SmFeCu crystal.

Cell and atoms, written as extended XYZ:
```
6
Lattice="-0.031 3.602 1.862 -0.394 -3.405 2.165 7.930 -0.374 0.854" Properties=species:S:1:pos:R:3 pbc="T T T"
Sm 5.877 -0.277 0.633
Sm 1.628 0.100 4.248
Fe 3.692 -1.256 2.491
Fe 3.813 1.079 2.390
Cu -0.273 -1.069 2.064
Cu 7.778 0.892 2.817
```

Formation energy, eV/atom: -0.063
Symmetry: P6/mmm, No. 191

---

No. 11
Density functional theory data (PBE) for a relaxed ZrAs2F crystal.

Cell and atoms, written as extended XYZ:
```
4
Lattice="2.479 -0.212 3.920 2.365 3.721 1.456 -1.410 2.319 3.767" Properties=species:S:1:pos:R:3 pbc="T T T"
As 0.858 1.457 2.286
As 2.575 4.371 6.858
Zr 1.717 2.914 4.572
F 0.000 0.000 0.000
```

ΔE_f (raw), kJ per mole of atoms: -56.4
Symmetry: Fm-3m, No. 225
Offset from the most stable computed form, meV per atom: 272

---

No. 12
Density functional theory data (PBE) for a relaxed Sr2TlRe crystal.

Cell and atoms, written as extended XYZ:
```
4
Lattice="-3.088 4.763 3.180 -6.255 1.068 -1.439 4.366 -4.311 2.165" Properties=species:S:1:pos:R:3 pbc="T T T"
Re -3.539 -0.002 0.846
Sr -0.330 0.206 0.062
Sr -1.531 1.581 3.077
Tl -4.248 2.651 0.791
```

Formation energy, eV/atom: 0.626
Symmetry: Imm2, No. 44
Offset from the most stable computed form, meV per atom: 16

---

Which size of the total moment belongs to each record? In order, 0.00, 0.00, 0.00, 1.99, 0.00, 0.00, 0.00, 3.95, 1.81, 1.21, 0.00, 0.51 μB per formula unit.